Entry 1:
The following is a PBE calculation of a geometry-optimized BePtBr structure, from Alexandria.

The structure belongs to space group F-43m (No. 216); the cell edges are 6.015, 6.015 and 6.015 Å and the angles 90.00°, 90.00° and 90.00°. The asymmetric unit holds Be at (0.000, 0.000, 0.000), Pt at (0.250, 0.250, 0.750) and Br at (0.000, 0.000, 0.500).

The energy above the most stable polymorph in this dataset is 1.412 eV per formula unit. Its total magnetic moment is 0.000 μB per formula unit. The calculation puts the density of states at the Fermi level at 0.106 states/eV/atom. The value obtained for the raw formation energy is 367 meV/atom.



Entry 2:
The following is a PBE calculation of a geometry-optimized PPt2W structure, from Alexandria.

The structure belongs to space group P4/mmm (No. 123); the cell edges are 3.737, 3.737 and 4.344 Å and the angles 90.00°, 90.00° and 90.00°. The asymmetric unit holds P at (0.000, 0.000, 0.000), Pt at (0.000, 0.500, 0.500) and W at (0.500, 0.500, 0.000).

Its total magnetic moment is 0.624 μB per formula unit. The calculation puts the density of states at the Fermi level at 0.666 states/eV/atom. Its electronic total energy is -0.550 Ry per atom.



Entry 3:
The following is a PBE calculation of a geometry-optimized K3TeW structure, from Alexandria.

The structure belongs to space group Pm-3m (No. 221); the cell edges are 6.604, 6.604 and 6.604 Å and the angles 90.00°, 90.00° and 90.00°. The asymmetric unit holds K at (0.000, 0.000, 0.500), Te at (0.000, 0.000, 0.000) and W at (0.500, 0.500, 0.500).

The energy above the most stable polymorph in this dataset is 0.000 eV per formula unit. Its total magnetic moment is 5.000 μB per formula unit. The calculation puts the density of states at the Fermi level at 0.000 states/eV/atom. The value obtained for the raw formation energy is 799 meV/atom.